1.
Here is NdDy3Th3 after structural relaxation from Alexandria. Energies are from GGA-PBE.

Properties
- V (Å³/cell) = 459
- energy of formation (eV per atom) = 0.072
- Fermi-level density of states (states/eV/f.u.) = 12.10
- E_tot (eV/atom) = -5.762

```
data_NdDy3Th3
_chemical_formula_sum 'Nd2 Dy6 Th6'
_cell_length_a 9.5170
_cell_length_b 9.5170
_cell_length_c 5.8565
_cell_angle_alpha 90.00
_cell_angle_beta 90.00
_cell_angle_gamma 120.00
_symmetry_space_group_name_H-M 'P 63/m'
_symmetry_Int_Tables_number 176
_symmetry_space_group_name_Hall '-P 6c'
loop_
_atom_site_label
_atom_site_fract_x
_atom_site_fract_y
_atom_site_fract_z
Nd1 0.3333 0.6667 0.2500
Dy1 0.0426 0.2380 0.2500
Th1 0.1010 0.4847 0.7500
```

***

2.
Here is Nd4Dy5Th2 after structural relaxation from Alexandria. Energies are from GGA-PBE.

Properties
- V (Å³/cell) = 751
- energy of formation (eV per atom) = 0.262
- Fermi-level density of states (states/eV/f.u.) = 13.80
- E_tot (eV/atom) = -4.913

```
data_Nd4Dy5Th2
_chemical_formula_sum 'Nd8 Dy10 Th4'
_cell_length_a 3.5099
_cell_length_b 11.6243
_cell_length_c 18.4176
_cell_angle_alpha 90.00
_cell_angle_beta 90.00
_cell_angle_gamma 90.00
_symmetry_space_group_name_H-M 'I m m m'
_symmetry_Int_Tables_number 71
_symmetry_space_group_name_Hall '-I 2 2'
loop_
_atom_site_label
_atom_site_fract_x
_atom_site_fract_y
_atom_site_fract_z
Nd1 0.0000 0.0000 0.0909
Nd2 0.0000 0.2628 0.5000
Dy1 0.0000 0.2914 0.3197
Dy2 0.0000 0.5000 0.0000
Th1 0.0000 0.0000 0.2987
```